--- one ---
First-principles (PBE-GGA) data for BaTePb after structural relaxation, as listed in Alexandria.

abc: 4.5811 4.5811 7.2932
angles: 90.00 90.00 120.00
Space group P3m1 (No. 156)
Unique sites:
Ba 0.0000 0.0000 0.0000 x1
Te 0.3333 0.6667 0.6951 x1
Pb 0.6667 0.3333 0.4258 x1

Results
Calculated density: 5.9 g/cm3

---

--- two ---
First-principles (PBE-GGA) data for BaTePb after structural relaxation, as listed in Alexandria.

abc: 5.4172 5.4172 4.5374
angles: 90.00 90.00 120.00
Space group P3m1 (No. 156)
Unique sites:
Ba 0.0000 0.0000 0.0000 x1
Te 0.3333 0.6667 0.5553 x1
Pb 0.6667 0.3333 0.4597 x1

Results
Calculated density: 6.8 g/cm3

---

Which one is the least stable? From the structures above, one.